! Dy2V2N5, relaxed, DFT PBE; values from VASP
&SYSTEM
  ibrav = 0, nat = 18, ntyp = 3
/
ATOMIC_SPECIES
Dy 162.50 Dy.upf
V 50.94 V.upf
N 14.01 N.upf
CELL_PARAMETERS angstrom
-7.412 2.812 2.669
7.412 -2.812 2.669
7.412 2.812 -2.669
ATOMIC_POSITIONS crystal
Dy 0.027 0.107 0.134
Dy 0.027 0.393 0.420
Dy 0.973 0.607 0.580
Dy 0.973 0.893 0.866
V 0.370 0.698 0.172
V 0.505 0.005 0.500
V 0.505 0.505 0.000
V 0.526 0.198 0.828
N 0.000 0.258 0.764
N 0.000 0.736 0.242
N 0.226 0.851 0.875
N 0.446 0.158 0.578
N 0.446 0.368 0.788
N 0.494 0.236 0.236
N 0.494 0.758 0.758
N 0.580 0.658 0.212
N 0.580 0.868 0.422
N 0.976 0.351 0.125
! - Symmetry: Ima2, No. 46
! - Total magnetization: 1.1 μB/cell
! - Formation energy from raw total energies: -1245 meV/atom

=====

! LiThTaN3, relaxed, DFT PBE; values from VASP
&SYSTEM
  ibrav = 0, nat = 12, ntyp = 4
/
ATOMIC_SPECIES
Li 6.94 Li.upf
Th 232.04 Th.upf
Ta 180.95 Ta.upf
N 14.01 N.upf
CELL_PARAMETERS angstrom
6.694 0.000 0.000
0.000 3.284 0.000
-1.856 0.000 6.751
ATOMIC_POSITIONS crystal
Li 0.082 0.250 0.089
Li 0.918 0.750 0.911
Th 0.200 0.250 0.728
Th 0.800 0.750 0.272
Ta 0.329 0.750 0.323
Ta 0.671 0.250 0.677
N 0.117 0.250 0.367
N 0.219 0.750 0.029
N 0.445 0.750 0.655
N 0.555 0.250 0.345
N 0.781 0.250 0.971
N 0.883 0.750 0.633
! - Symmetry: P2_1/m, No. 11
! - Total magnetization: 0.0 μB/cell
! - Formation energy from raw total energies: -1134 meV/atom

=====

! ScIn2Tc, relaxed, DFT PBE; values from VASP
&SYSTEM
  ibrav = 0, nat = 4, ntyp = 3
/
ATOMIC_SPECIES
Sc 44.96 Sc.upf
In 114.82 In.upf
Tc 98.00 Tc.upf
CELL_PARAMETERS angstrom
1.585 0.915 9.437
-1.585 0.915 9.437
0.000 -1.830 9.437
ATOMIC_POSITIONS crystal
Sc 0.000 0.000 0.000
In 0.243 0.243 0.243
In 0.757 0.757 0.757
Tc 0.500 0.500 0.500
! - ΔE to the lowest computed polymorph: 0.251 eV/atom
! - Formation energy: 136 meV per atom
! - Symmetry: R-3m, No. 166
! - Total magnetization: 0.0 μB/cell

=====

! TmPbSe2, relaxed, DFT PBE; values from VASP
&SYSTEM
  ibrav = 0, nat = 4, ntyp = 3
/
ATOMIC_SPECIES
Tm 168.93 Tm.upf
Pb 207.20 Pb.upf
Se 78.96 Se.upf
CELL_PARAMETERS angstrom
1.996 1.153 9.114
-1.996 1.153 9.114
0.000 -2.305 9.114
ATOMIC_POSITIONS crystal
Tm 0.000 0.000 0.000
Pb 0.500 0.500 0.500
Se 0.392 0.392 0.392
Se 0.608 0.608 0.608
! - Symmetry: R-3m, No. 166
! - Total magnetization: 0.0 μB/cell
! - Formation energy from raw total energies: -1159 meV/atom

=====

! NaEr4TmS8, relaxed, DFT PBE; values from VASP
&SYSTEM
  ibrav = 0, nat = 14, ntyp = 4
/
ATOMIC_SPECIES
Na 22.99 Na.upf
Er 167.26 Er.upf
Tm 168.93 Tm.upf
S 32.06 S.upf
CELL_PARAMETERS angstrom
4.014 2.317 6.540
-4.014 2.317 6.540
0.000 -4.635 6.540
ATOMIC_POSITIONS crystal
Na 0.000 0.000 0.000
Er 0.111 0.629 0.629
Er 0.250 0.250 0.250
Er 0.629 0.111 0.629
Er 0.629 0.629 0.111
Tm 0.629 0.629 0.629
S 0.383 0.383 0.383
S 0.384 0.384 0.850
S 0.384 0.850 0.384
S 0.408 0.863 0.863
S 0.850 0.384 0.384
S 0.863 0.408 0.863
S 0.863 0.863 0.408
S 0.864 0.864 0.864
! - Symmetry: R3m, No. 160
! - Total magnetization: 0.0 μB/cell
! - Formation energy from raw total energies: -1961 meV/atom

=====

! SiBrCl2, relaxed, DFT PBE; values from VASP
&SYSTEM
  ibrav = 0, nat = 4, ntyp = 3
/
ATOMIC_SPECIES
Si 28.09 Si.upf
Br 79.90 Br.upf
Cl 35.45 Cl.upf
CELL_PARAMETERS angstrom
2.140 -2.407 0.000
2.140 2.407 0.000
0.000 0.000 11.159
ATOMIC_POSITIONS crystal
Si 0.000 0.000 0.000
Br 0.000 0.000 0.500
Cl 0.500 0.500 0.142
Cl 0.500 0.500 0.858
! - ΔE to the lowest computed polymorph: 0.577 eV/atom
! - Symmetry: Cmmm, No. 65
! - Total magnetization: 0.0 μB/cell
! - Formation energy from raw total energies: -24 meV/atom

=====

! Mg8ScAg6, relaxed, DFT PBE; values from VASP
&SYSTEM
  ibrav = 0, nat = 15, ntyp = 3
/
ATOMIC_SPECIES
Mg 24.30 Mg.upf
Sc 44.96 Sc.upf
Ag 107.87 Ag.upf
CELL_PARAMETERS angstrom
4.033 2.328 5.708
-4.033 2.328 5.708
0.000 -4.657 5.708
ATOMIC_POSITIONS crystal
Mg 0.053 0.710 0.381
Mg 0.168 0.168 0.168
Mg 0.290 0.619 0.947
Mg 0.381 0.053 0.710
Mg 0.619 0.947 0.290
Mg 0.710 0.381 0.053
Mg 0.832 0.832 0.832
Mg 0.947 0.290 0.619
Sc 0.500 0.500 0.500
Ag 0.113 0.449 0.789
Ag 0.211 0.887 0.551
Ag 0.449 0.789 0.113
Ag 0.551 0.211 0.887
Ag 0.789 0.113 0.449
Ag 0.887 0.551 0.211
! - Formation energy: -131 meV per atom
! - Symmetry: R-3, No. 148
! - Total magnetization: 0.0 μB/cell

=====

! SrPdW, relaxed, DFT PBE; values from VASP
&SYSTEM
  ibrav = 0, nat = 3, ntyp = 3
/
ATOMIC_SPECIES
Sr 87.62 Sr.upf
Pd 106.42 Pd.upf
W 183.84 W.upf
CELL_PARAMETERS angstrom
0.000 3.393 3.393
3.393 0.000 3.393
3.393 3.393 0.000
ATOMIC_POSITIONS crystal
Sr 0.000 0.000 0.000
Pd 0.250 0.250 0.250
W 0.500 0.500 0.500
! - ΔE to the lowest computed polymorph: 1.002 eV/atom
! - Formation energy: 1155 meV per atom
! - Symmetry: F-43m, No. 216
! - Total magnetization: 3.7 μB/cell

=====

! CsNa7Sn2, relaxed, DFT PBE; values from VASP
&SYSTEM
  ibrav = 0, nat = 10, ntyp = 3
/
ATOMIC_SPECIES
Cs 132.91 Cs.upf
Na 22.99 Na.upf
Sn 118.71 Sn.upf
CELL_PARAMETERS angstrom
5.570 -6.689 0.000
5.570 6.689 0.000
0.000 0.000 6.054
ATOMIC_POSITIONS crystal
Cs 0.000 0.000 0.000
Na 0.101 0.377 0.500
Na 0.316 0.684 0.000
Na 0.377 0.101 0.500
Na 0.500 0.500 0.500
Na 0.623 0.899 0.500
Na 0.684 0.316 0.000
Na 0.899 0.623 0.500
Sn 0.262 0.738 0.500
Sn 0.738 0.262 0.500
! - Formation energy: -37 meV per atom
! - Symmetry: Cmmm, No. 65
! - Total magnetization: 0.0 μB/cell

=====

! Tb3GaRu, relaxed, DFT PBE; values from VASP
&SYSTEM
  ibrav = 0, nat = 10, ntyp = 3
/
ATOMIC_SPECIES
Tb 158.93 Tb.upf
Ga 69.72 Ga.upf
Ru 101.07 Ru.upf
CELL_PARAMETERS angstrom
5.682 -2.450 0.000
5.682 2.450 0.000
-0.337 0.000 8.606
ATOMIC_POSITIONS crystal
Tb 0.102 0.102 0.343
Tb 0.147 0.147 0.929
Tb 0.383 0.383 0.354
Tb 0.617 0.617 0.646
Tb 0.853 0.853 0.071
Tb 0.898 0.898 0.657
Ga 0.421 0.421 0.878
Ga 0.579 0.579 0.122
Ru 0.254 0.254 0.639
Ru 0.746 0.746 0.361
! - ΔE to the lowest computed polymorph: 0.044 eV/atom
! - Formation energy: -393 meV per atom
! - Symmetry: C2/m, No. 12
! - Total magnetization: 0.0 μB/cell

=====

! BaCaFe2I8, relaxed, DFT PBE; values from VASP
&SYSTEM
  ibrav = 0, nat = 12, ntyp = 4
/
ATOMIC_SPECIES
Ba 137.33 Ba.upf
Ca 40.08 Ca.upf
Fe 55.84 Fe.upf
I 126.90 I.upf
CELL_PARAMETERS angstrom
7.398 0.000 0.000
-3.699 6.407 0.000
0.000 0.000 10.513
ATOMIC_POSITIONS crystal
Ba 0.000 0.000 0.000
Ca 0.000 0.000 0.500
Fe 0.333 0.667 0.756
Fe 0.667 0.333 0.244
I 0.005 0.683 0.305
I 0.317 0.322 0.305
I 0.322 0.005 0.695
I 0.333 0.667 0.002
I 0.667 0.333 0.998
I 0.678 0.995 0.305
I 0.683 0.678 0.695
I 0.995 0.317 0.695
! - Symmetry: P-3, No. 147
! - Total magnetization: 8.0 μB/cell
! - Formation energy from raw total energies: -805 meV/atom

=====

! Be2V2ZnNi5, relaxed, DFT PBE; values from VASP
&SYSTEM
  ibrav = 0, nat = 20, ntyp = 4
/
ATOMIC_SPECIES
Be 9.01 Be.upf
V 50.94 V.upf
Zn 65.41 Zn.upf
Ni 58.69 Ni.upf
CELL_PARAMETERS angstrom
8.479 0.000 0.000
0.000 8.479 0.000
0.000 0.000 3.100
ATOMIC_POSITIONS crystal
Be 0.120 0.380 0.000
Be 0.380 0.880 0.000
Be 0.620 0.120 0.000
Be 0.880 0.620 0.000
V 0.176 0.676 0.000
V 0.324 0.176 0.000
V 0.676 0.824 0.000
V 0.824 0.324 0.000
Zn 0.000 0.000 0.000
Zn 0.500 0.500 0.000
Ni 0.000 0.500 0.500
Ni 0.068 0.213 0.500
Ni 0.213 0.932 0.500
Ni 0.287 0.432 0.500
Ni 0.432 0.713 0.500
Ni 0.500 0.000 0.500
Ni 0.568 0.287 0.500
Ni 0.713 0.568 0.500
Ni 0.787 0.068 0.500
Ni 0.932 0.787 0.500
! - Formation energy: -171 meV per atom
! - Symmetry: P4/mbm, No. 127
! - Total magnetization: 8.9 μB/cell